Material: ZrMo2O8
Method: DFT, PBE with a Hubbard U
State: optimized geometry

Calculated values
total energy: -0.283 hartree per atom
theoretical density: 4.5 g cm⁻³

Geometry as POSCAR:
```
ZrMo2O8
1.0
-3.615 -6.001 -0.993
4.202 -5.583 1.112
-1.463 -4.106 6.248
Zr Mo O
2 4 16
Cartesian
-4.544 -9.071 3.738
3.668 -6.618 2.628
1.070 -11.236 5.178
0.789 -6.321 5.245
-1.945 -4.453 1.188
-1.665 -9.368 1.121
-0.434 -8.650 2.067
-3.293 -7.436 4.332
-2.898 -5.190 -0.275
2.133 -5.133 2.472
2.197 -9.740 4.302
2.414 -6.920 4.476
-0.342 -5.020 1.005
1.468 -7.721 6.607
-3.290 -8.769 1.889
-2.344 -7.969 -0.241
2.417 -8.253 2.034
2.023 -10.499 6.641
-3.008 -10.556 3.894
-0.534 -10.669 5.361
-3.072 -5.949 2.064
-0.442 -7.039 4.299
```